# CeDyMoN3

A relaxed structure of CeDyMoN3 (PBE, Alexandria).

Output
The energy is -8.7248 eV/atom. The volume is 15.9 A^3/atom. The density of states at the Fermi level comes out at 0.57 states/eV/atom. As for the raw formation energy: -6.0 eV/f.u.

Cell: 7.4206 3.3043 7.8067 Å, 90.00 95.32 90.00°
Closest atoms and distances in Å follow each position.
Space group P2_1/m (No. 11)
Asymmetric unit:
Ce (0.1604, 0.2500, 0.1767)  7 N 2.44-2.71
Dy (0.3740, 0.7500, 0.8450)  5 N 2.22-2.45
Mo (0.1088, 0.2500, 0.5814)  4 N 2.06-2.14
N (0.1302, 0.2500, 0.8461)  1 Mo 2.06
N (0.1696, 0.7500, 0.4224)  3 Mo 2.06-2.14
N (0.3932, 0.7500, 0.1303)  3 Dy 2.22-2.39, 2 Ce 2.44



# BaNaLiSi

A relaxed structure of BaNaLiSi (PBE, Alexandria).

Output
The energy is -2.7078 eV/atom. The volume is 25.1 A^3/atom. The density of states at the Fermi level comes out at 0.22 states/eV/atom. As for the raw formation energy: -0.3 eV/f.u.

Cell: 7.3792 7.3792 7.3792 Å, 90.00 90.00 90.00°
Closest atoms and distances in Å follow each position.
Space group F-43m (No. 216)
Asymmetric unit:
Ba (0.0000, 0.0000, 0.0000)  4 Li 3.20, 4 Na 3.20
Na (0.2500, 0.2500, 0.2500)  4 Ba 3.20, 4 Si 3.20
Li (0.2500, 0.2500, 0.7500)  4 Si 3.20, 4 Ba 3.20
Si (0.0000, 0.0000, 0.5000)  4 Na 3.20, 4 Li 3.20



# La3Tb2Pm7

A relaxed structure of La3Tb2Pm7 (PBE, Alexandria).

Output
The energy is -4.6945 eV/atom. The volume is 35.1 A^3/atom. The density of states at the Fermi level comes out at 1.46 states/eV/atom. The formation energy comes out at 0.08 eV per atom. The energy above the most stable polymorph in this dataset comes out at 0.0 kJ per mole of atoms.

Cell: 5.9844 3.6533 19.3145 Å, 90.00 93.03 90.00°
Closest atoms and distances in Å follow each position.
Space group P2/m (No. 10)
Asymmetric unit:
La (0.0000, 0.0000, 0.0000)  8 Pm 3.49-3.51, 2 La 3.65
La (0.2774, 0.5000, 0.6342)  2 La 3.65, 4 Tb 3.76-3.78, 8 Pm 3.77-4.05
Tb (0.2132, 0.0000, 0.2939)  3 Pm 3.27-3.40, 2 Tb 3.65
Pm (0.1893, 0.5000, 0.1452)  2 Tb 3.40, 7 Pm 3.45-3.65, 2 La 3.49
Pm (0.2434, 0.0000, 0.4633)  1 Tb 3.27, 4 Pm 3.31-3.65
Pm (0.3077, 0.0000, 0.8219)  6 Pm 3.55-3.65, 2 Tb 3.73-3.74
Pm (0.5000, 0.5000, 0.0000)  4 Pm 3.45-3.65, 4 La 3.51



# LiCdNi2Te

A relaxed structure of LiCdNi2Te (PBE, Alexandria).

Output
The energy is -2.8781 eV/atom. The volume is 20.6 A^3/atom. The density of states at the Fermi level comes out at 0.70 states/eV/atom. As for the raw formation energy: 3.1 eV/f.u.

Cell: 4.7359 4.7359 4.5949 Å, 90.00 90.00 90.00°
Closest atoms and distances in Å follow each position.
Space group P4/mmm (No. 123)
Asymmetric unit:
Li (0.0000, 0.0000, 0.0000)  2 Cd 2.30
Cd (0.0000, 0.0000, 0.5000)  2 Li 2.30, 4 Ni 2.37
Ni (0.0000, 0.5000, 0.5000)  2 Cd 2.37
Te (0.5000, 0.5000, 0.0000)  8 Ni 3.30, 4 Li 3.35



# K2RbZnAg

A relaxed structure of K2RbZnAg (PBE, Alexandria).

Output
The energy is -1.3427 eV/atom. The volume is 46.0 A^3/atom. The density of states at the Fermi level comes out at 0.65 states/eV/atom. The formation energy comes out at 0.11 eV per atom. The energy above the most stable polymorph in this dataset comes out at 0.0 kJ per mole of atoms.

Cell: 6.5979 6.5979 5.2861 Å, 90.00 90.00 90.00°
Closest atoms and distances in Å follow each position.
Space group P4/mmm (No. 123)
Asymmetric unit:
K (0.0000, 0.5000, 0.0000)  2 Ag 3.30
Rb (0.0000, 0.0000, 0.5000)  8 K 4.23, 4 Zn 4.67
Zn (0.5000, 0.5000, 0.5000)  2 Ag 2.64
Ag (0.5000, 0.5000, 0.0000)  2 Zn 2.64



# MgCdS

A relaxed structure of MgCdS (PBE, Alexandria).

Output
The energy is -2.9354 eV/atom. The volume is 29.0 A^3/atom. As for the raw formation energy: -2.2 eV/f.u.

Cell: 4.1547 4.1547 34.9240 Å, 90.00 90.00 120.00°
Closest atoms and distances in Å follow each position.
Space group R-3m (No. 166, hexagonal axes)
Asymmetric unit:
Mg (0.0000, 0.0000, 0.1350)  4 S 2.43-2.59
Cd (0.0000, 0.0000, 0.3625)  3 Cd 3.15
S (0.0000, 0.0000, 0.2092)  4 Mg 2.43-2.59



# TaSbNO2

A relaxed structure of TaSbNO2 (PBE, Alexandria).

Output
The energy is -6.5095 eV/atom. The volume is 13.3 A^3/atom. The density of states at the Fermi level comes out at 0.55 states/eV/atom. As for the raw formation energy: 1.7 eV/f.u.

Cell: 3.9929 3.9929 4.1570 Å, 90.00 90.00 90.00°
Closest atoms and distances in Å follow each position.
Space group P4/mmm (No. 123)
Asymmetric unit:
Ta (0.0000, 0.0000, 0.0000)  4 N 2.82, 8 O 2.88
Sb (0.5000, 0.5000, 0.5000)  4 O 2.00, 2 N 2.08
N (0.5000, 0.5000, 0.0000)  2 Sb 2.08
O (0.0000, 0.5000, 0.5000)  2 Sb 2.00



# SmSc4Al4

A relaxed structure of SmSc4Al4 (PBE, Alexandria).

Output
The energy is -5.1726 eV/atom. The volume is 22.0 A^3/atom. The density of states at the Fermi level comes out at 0.73 states/eV/atom. The formation energy comes out at -0.17 eV per atom.

Cell: 8.5607 8.5607 5.4004 Å, 90.00 90.00 90.00°
Closest atoms and distances in Å follow each position.
Space group P4_2/n (No. 86, origin choice 2)
Asymmetric unit:
Sm (0.2500, 0.2500, 0.2500)  4 Al 3.04, 4 Sc 3.09
Sc (0.0975, 0.8212, 0.6478)  5 Al 2.87-3.11, 1 Sc 2.88, 1 Sm 3.09
Al (0.0394, 0.1395, 0.8325)  5 Sc 2.87-3.11, 3 Al 3.01-3.07, 1 Sm 3.04



# Pr12Ni5Ag

A relaxed structure of Pr12Ni5Ag (PBE, Alexandria).

Output
The energy is -5.1418 eV/atom. The volume is 27.7 A^3/atom. The density of states at the Fermi level comes out at 0.92 states/eV/atom. The formation energy comes out at -0.19 eV per atom.

Cell: 9.5835 10.0824 10.3043 Å, 90.00 90.00 90.00°
Closest atoms and distances in Å follow each position.
Space group Immm (No. 71)
Asymmetric unit:
Pr (0.0000, 0.1908, 0.2090)  2 Ni 2.79-2.89
Pr (0.1971, 0.5000, 0.1743)  3 Ni 2.80-2.93
Pr (0.2025, 0.3228, 0.5000)  2 Ni 2.94
Ni (0.0000, 0.0000, 0.0000)  4 Pr 2.89
Ni (0.0000, 0.3673, 0.0000)  1 Ni 2.68, 6 Pr 2.79-2.93
Ni (0.0000, 0.5000, 0.3743)  1 Ni 2.59, 2 Pr 2.80
Ag (0.0000, 0.0000, 0.5000)  12 Pr 3.41-3.79



# Sc2Bi2Pt

A relaxed structure of Sc2Bi2Pt (PBE, Alexandria).

Output
The energy is -5.7365 eV/atom. The volume is 24.5 A^3/atom. The density of states at the Fermi level comes out at 0.71 states/eV/atom. The formation energy comes out at -0.44 eV per atom. The energy above the most stable polymorph in this dataset comes out at 0.0 kJ per mole of atoms.

Cell: 7.1832 7.1832 4.7521 Å, 90.00 90.00 90.00°
Closest atoms and distances in Å follow each position.
Space group P4/mbm (No. 127)
Asymmetric unit:
Sc (0.1651, 0.3349, 0.0000)  2 Pt 2.68, 2 Bi 2.99
Bi (0.1566, 0.6566, 0.5000)  6 Sc 2.99-3.32, 1 Bi 3.18
Pt (0.0000, 0.0000, 0.0000)  4 Sc 2.68



# ZnCu2Au8

A relaxed structure of ZnCu2Au8 (PBE, Alexandria).

Output
The energy is -3.1819 eV/atom. The volume is 18.4 A^3/atom. The density of states at the Fermi level comes out at 0.31 states/eV/atom. The formation energy comes out at 0.06 eV per atom. The energy above the most stable polymorph in this dataset comes out at 11.1 kJ per mole of atoms.

Cell: 12.0746 7.2879 4.7316 Å, 90.00 103.14 90.00°
Closest atoms and distances in Å follow each position.
Space group C2/m (No. 12)
Asymmetric unit:
Zn (0.0000, 0.0000, 0.0000)  2 Cu 2.53, 6 Au 2.58-2.65
Cu (0.1114, 0.0000, 0.5232)  1 Zn 2.53, 5 Au 2.64-2.75, 1 Cu 2.65
Au (0.0708, 0.3032, 0.7891)  1 Cu 2.64, 1 Zn 2.65, 6 Au 2.86-2.95
Au (0.1546, 0.5000, 0.3420)  1 Cu 2.75, 8 Au 2.78-3.01
Au (0.2186, 0.0000, 0.0876)  1 Zn 2.58, 2 Cu 2.67-2.69, 4 Au 2.78-2.86



# Nd4Tm15Th

A relaxed structure of Nd4Tm15Th (PBE, Alexandria).

Output
The energy is -4.6501 eV/atom. The volume is 31.1 A^3/atom. The density of states at the Fermi level comes out at 1.49 states/eV/atom. The formation energy comes out at 0.03 eV per atom.

Cell: 5.0015 5.0015 24.9037 Å, 90.00 90.00 90.00°
Closest atoms and distances in Å follow each position.
Space group P4/mmm (No. 123)
Asymmetric unit:
Nd (0.0000, 0.0000, 0.1002)  12 Tm 3.53-3.54
Nd (0.0000, 0.0000, 0.3010)  12 Tm 3.54-3.55
Tm (0.0000, 0.5000, 0.0000)  4 Nd 3.53, 8 Tm 3.54
Tm (0.0000, 0.5000, 0.2006)  8 Tm 3.53-3.54, 4 Nd 3.54
Tm (0.0000, 0.5000, 0.4019)  2 Th 3.50, 8 Tm 3.50-3.56, 2 Nd 3.55
Tm (0.5000, 0.5000, 0.1003)  8 Tm 3.53-3.54, 4 Nd 3.54
Tm (0.5000, 0.5000, 0.3004)  8 Tm 3.53-3.56, 4 Nd 3.54
Tm (0.5000, 0.5000, 0.5000)  8 Tm 3.50, 4 Th 3.54
Th (0.0000, 0.0000, 0.5000)  12 Tm 3.50-3.54